A plane-wave DFT calculation with GGA-PBE was carried out for a relaxed structure of ZnIr2O6.

Values from the calculation:
space group	P-31m (162)
final energy	-6.1623	eV per atom

Unit cell a=4.497 b=5.129 c=5.129 alpha=120.00 beta=90.00 gamma=90.00
Sites, in units of the cell vectors:
O  0.740  0.648  0.648
O  0.740  0.352  0.000
O  0.260  0.648  0.000
O  0.740  0.000  0.352
O  0.260  0.000  0.648
O  0.260  0.352  0.352
Ir  0.500  0.667  0.333
Ir  0.500  0.333  0.667
Zn  0.000  0.000  0.000

A plane-wave DFT calculation with GGA-PBE was carried out for a relaxed structure of ZnIr2O.

Values from the calculation:
space group	Fm-3m (225)
final energy	-5.2913	eV per atom

Unit cell a=4.172 b=4.172 c=4.172 alpha=60.00 beta=60.00 gamma=60.00
Sites, in units of the cell vectors:
Ir  0.250  0.250  0.250
Ir  0.750  0.750  0.750
O  0.000  0.000  0.000
Zn  0.500  0.500  0.500

A plane-wave DFT calculation with GGA-PBE was carried out for a relaxed structure of ZnIr2O.

Values from the calculation:
space group	I-42d (122)
final energy	-5.6263	eV per atom

Unit cell a=4.499 b=4.499 c=7.330 alpha=72.13 beta=72.13 gamma=90.00
Sites, in units of the cell vectors:
Ir  0.875  0.733  0.750
Ir  0.483  0.125  0.250
Ir  0.375  0.517  0.750
Ir  0.267  0.625  0.250
O  0.250  0.750  0.500
O  0.500  0.500  0.000
Zn  0.750  0.250  0.500
Zn  0.000  0.000  0.000

A plane-wave DFT calculation with GGA-PBE was carried out for a relaxed structure of Zn6IrO6.

Values from the calculation:
space group	Pm-3 (200)
final energy	-4.3504	eV per atom

Unit cell a=5.702 b=5.702 c=5.702 alpha=90.00 beta=90.00 gamma=90.00
Each line ends with the local moment (μB).
Sites, in units of the cell vectors:
Zn  0.500  0.000  0.247  0.01
Zn  0.247  0.500  0.000  0.01
Zn  0.000  0.753  0.500  0.01
Zn  0.500  0.000  0.753  0.01
Zn  0.753  0.500  0.000  0.01
Zn  0.000  0.247  0.500  0.01
O  0.000  0.500  0.254  0.04
O  0.500  0.254  0.000  0.04
O  0.254  0.000  0.500  0.04
O  0.746  0.000  0.500  0.04
O  0.500  0.746  0.000  0.04
O  0.000  0.500  0.746  0.04
Ir  0.000  0.000  0.000  1.88

A plane-wave DFT calculation with GGA-PBE was carried out for a relaxed structure of ZnIr3O.

Values from the calculation:
space group	Pm-3m (221)
final energy	-5.8672	eV per atom

Unit cell a=4.130 b=4.130 c=4.130 alpha=90.00 beta=90.00 gamma=90.00
Sites, in units of the cell vectors:
Zn  0.500  0.500  0.500
Ir  0.000  0.000  0.500
Ir  0.500  0.000  0.000
Ir  0.000  0.500  0.000
O  0.000  0.000  0.000

A plane-wave DFT calculation with GGA-PBE was carried out for a relaxed structure of ZnIr3O.

Values from the calculation:
space group	Pm-3m (221)
final energy	-4.2716	eV per atom

Unit cell a=4.584 b=4.584 c=4.584 alpha=90.00 beta=90.00 gamma=90.00
Each line ends with the local moment (μB).
Sites, in units of the cell vectors:
Ir  0.000  0.000  0.500  1.35
Ir  0.000  0.500  0.000  1.51
Ir  0.500  0.000  0.000  1.21
O  0.500  0.500  0.500  1.15
Zn  0.000  0.000  0.000  -0.01

A plane-wave DFT calculation with GGA-PBE was carried out for a relaxed structure of Zn3IrO3.

Values from the calculation:
space group	Pm-3n (223)
final energy	-4.2287	eV per atom

Unit cell a=5.723 b=5.723 c=5.723 alpha=90.00 beta=90.00 gamma=90.00
Each line ends with the local moment (μB).
Sites, in units of the cell vectors:
Ir  0.500  0.500  0.500  1.87
Ir  0.000  0.000  0.000  1.87
O  0.500  0.000  0.250  0.08
O  0.750  0.500  0.000  0.08
O  0.250  0.500  0.000  0.08
O  0.000  0.750  0.500  0.08
O  0.000  0.250  0.500  0.08
O  0.500  0.000  0.750  0.08
Zn  0.500  0.250  0.000  0.01
Zn  0.500  0.750  0.000  0.01
Zn  0.250  0.000  0.500  0.01
Zn  0.750  0.000  0.500  0.01
Zn  0.000  0.500  0.750  0.01
Zn  0.000  0.500  0.250  0.01

A plane-wave DFT calculation with GGA-PBE was carried out for a relaxed structure of Zn2IrO.

Values from the calculation:
space group	I-42d (122)
final energy	-4.2171	eV per atom

Unit cell a=6.404 b=6.404 c=5.184 alpha=51.85 beta=51.85 gamma=90.00
Sites, in units of the cell vectors:
Zn  0.190  0.625  0.250
Zn  0.375  0.440  0.750
Zn  0.560  0.125  0.250
Zn  0.875  0.810  0.750
O  0.250  0.750  0.500
O  0.500  0.500  0.000
Ir  0.750  0.250  0.500
Ir  0.000  0.000  0.000

| no. | formation energy without anion corrections (meV/atom) | total magnetization (Bohr magnetons per cell) |
| --- | --- | --- |
| 1 | -746 | 0.0 |
| 2 | 697 | 0.0 |
| 3 | 362 | 0.0 |
| 4 | -792 | 2.4 |
| 5 | 696 | 0.0 |
| 6 | 2291 | 5.4 |
| 7 | -292 | 4.7 |
| 8 | -125 | 0.0 |